## LiVSiO4 (GGA-PBEsol)

Data for a relaxed LiVSiO4 crystal.

The structure in POSCAR format:
```
LiVSiO4
1.0
5.3175 0.0000 0.0000
-2.6588 4.6051 0.0000
0.0000 0.0000 12.2704
Li V Si O
3 3 3 12
direct
0.0000 0.0000 0.0000 Li
0.0000 0.0000 0.3333 Li
0.0000 0.0000 0.6667 Li
0.0000 0.5000 0.8333 V
0.5000 0.0000 0.5000 V
0.5000 0.5000 0.1667 V
0.0000 0.5000 0.3333 Si
0.5000 0.0000 0.0000 Si
0.5000 0.5000 0.6667 Si
0.1857 0.3921 0.2601 O
0.1857 0.7936 0.4065 O
0.2064 0.3921 0.7399 O
0.2064 0.8143 0.9268 O
0.3921 0.1857 0.0732 O
0.3921 0.2064 0.5935 O
0.6079 0.7936 0.5935 O
0.6079 0.8143 0.0732 O
0.7936 0.1857 0.9268 O
0.7936 0.6079 0.7399 O
0.8143 0.2064 0.4065 O
0.8143 0.6079 0.2601 O
```

Output
Formation energy without anion corrections in eV per atom: -2.33
Energy above the lowest structure with this stoichiometry in kJ per mole of atoms: 13.4